# NiH | Alexandria | GGA-PBE | relaxed
data_NiH
_chemical_formula_sum 'Ni4 H4'
_symmetry_space_group_name_H-M 'F m -3 m'
_symmetry_Int_Tables_number 225
_symmetry_space_group_name_Hall '-F 4 2 3'
_cell_length_a 3.718
_cell_length_b 3.718
_cell_length_c 3.718
_cell_angle_alpha 90.00
_cell_angle_beta 90.00
_cell_angle_gamma 90.00
loop_
_atom_site_label
_atom_site_fract_x
_atom_site_fract_y
_atom_site_fract_z
Ni1 0.000 0.000 0.000
H1 0.000 0.000 0.500
# - total DFT energy (no corrections) (Ry per atom) = -0.340
# - M_tot (μB per cell) = 0.000